First-principles (PBE) data for a relaxed Tb4RuS2Cl crystal, as listed in the Alexandria database.

```
8
Lattice="7.1022 0.0000 0.0000 0.0000 3.7013 0.0000 -1.7860 0.0000 6.9269" Properties=species:S:1:pos:R:3 pbc="T T T"
Tb 1.0751 0.0000 1.7006
Tb 0.3787 1.8506 5.2364
Tb 4.9375 1.8506 1.6905
Tb 4.2411 0.0000 5.2264
Ru -0.8930 0.0000 3.4635
S 0.0000 1.8506 0.0000
S 3.5511 0.0000 0.0000
Cl 2.6581 1.8506 3.4635
```

Output
Calculated total energy: -48.790 eV for the cell shown
Space group: P2/m (10)
Size of the total moment: 0.0 μB/f.u.
Fermi-level density of states: 0.586 states/eV/atom

***

First-principles (PBE) data for a relaxed TeRuSCl2 crystal, as listed in the Alexandria database.

```
5
Lattice="5.2044 0.0000 0.0000 0.0000 5.2044 0.0000 0.0000 0.0000 5.3084" Properties=species:S:1:pos:R:3 pbc="T T T"
Te 0.0000 0.0000 0.0000
Ru 2.6022 2.6022 2.6542
S 0.0000 0.0000 2.6542
Cl 0.0000 2.6022 0.0000
Cl 2.6022 0.0000 0.0000
```

Output
Calculated total energy: -15.553 eV for the cell shown
Space group: P4/mmm (123)
Size of the total moment: 3.1 μB/f.u.
Fermi-level density of states: 1.106 states/eV/atom

***

First-principles (PBE) data for a relaxed TeRuSCl2 crystal, as listed in the Alexandria database.

```
5
Lattice="4.8075 0.0000 0.0000 0.0000 4.8075 0.0000 0.0000 0.0000 4.6079" Properties=species:S:1:pos:R:3 pbc="T T T"
Te 0.0000 0.0000 0.0000
Ru 2.4037 2.4037 2.3039
S 2.4037 2.4037 0.0000
Cl 0.0000 2.4037 2.3039
Cl 2.4037 0.0000 2.3039
```

Output
Calculated total energy: -19.192 eV for the cell shown
Space group: P4/mmm (123)
Size of the total moment: 0.0 μB/f.u.
Fermi-level density of states: 0.802 states/eV/atom

***

First-principles (PBE) data for a relaxed TeRuS2Cl crystal, as listed in the Alexandria database.

```
5
Lattice="4.6512 0.0000 0.0000 0.0000 4.6512 0.0000 0.0000 0.0000 4.7373" Properties=species:S:1:pos:R:3 pbc="T T T"
Te 0.0000 0.0000 0.0000
Ru 2.3256 2.3256 2.3686
S 0.0000 2.3256 2.3686
S 2.3256 0.0000 2.3686
Cl 2.3256 2.3256 0.0000
```

Output
Calculated total energy: -21.243 eV for the cell shown
Space group: P4/mmm (123)
Size of the total moment: 0.0 μB/f.u.
Fermi-level density of states: 0.750 states/eV/atom

***

First-principles (PBE) data for a relaxed TeRuSCl2 crystal, as listed in the Alexandria database.

```
5
Lattice="4.4930 0.0000 0.0000 0.0000 4.4930 0.0000 0.0000 0.0000 6.0199" Properties=species:S:1:pos:R:3 pbc="T T T"
Te 0.0000 0.0000 0.0000
Ru 2.2465 2.2465 0.0000
S 0.0000 0.0000 3.0100
Cl 0.0000 2.2465 3.0100
Cl 2.2465 0.0000 3.0100
```

Output
Calculated total energy: -15.872 eV for the cell shown
Space group: P4/mmm (123)
Size of the total moment: 2.9 μB/f.u.
Fermi-level density of states: 1.216 states/eV/atom

***

First-principles (PBE) data for a relaxed TeRuS2Cl crystal, as listed in the Alexandria database.

```
5
Lattice="5.1208 0.0000 0.0000 0.0000 5.1208 0.0000 0.0000 0.0000 5.1071" Properties=species:S:1:pos:R:3 pbc="T T T"
Te 0.0000 0.0000 0.0000
Ru 2.5604 2.5604 2.5535
S 0.0000 2.5604 0.0000
S 2.5604 0.0000 0.0000
Cl 0.0000 0.0000 2.5535
```

Output
Calculated total energy: -17.093 eV for the cell shown
Space group: P4/mmm (123)
Size of the total moment: 3.4 μB/f.u.
Fermi-level density of states: 1.336 states/eV/atom

***

First-principles (PBE) data for a relaxed Th4RuS2Cl crystal, as listed in the Alexandria database.

```
8
Lattice="7.1161 0.0000 0.0000 0.0000 4.0196 0.0000 -2.3781 0.0000 6.8168" Properties=species:S:1:pos:R:3 pbc="T T T"
Th 1.0858 0.0000 1.6394
Th -0.0549 2.0098 5.0617
Th 4.7929 2.0098 1.7551
Th 3.6523 0.0000 5.1773
Ru 0.0000 2.0098 0.0000
S -1.1890 0.0000 3.4084
S 2.3690 2.0098 3.4084
Cl 3.5581 0.0000 0.0000
```

Output
Calculated total energy: -59.360 eV for the cell shown
Space group: P2/m (10)
Size of the total moment: 0.0 μB/f.u.
Fermi-level density of states: 0.722 states/eV/atom

***

First-principles (PBE) data for a relaxed TiRuSCl2 crystal, as listed in the Alexandria database.

```
5
Lattice="4.7445 0.0000 0.0000 0.0000 4.7445 0.0000 0.0000 0.0000 4.7863" Properties=species:S:1:pos:R:3 pbc="T T T"
Ti 0.0000 0.0000 0.0000
Ru 2.3722 2.3722 2.3931
S 0.0000 0.0000 2.3931
Cl 0.0000 2.3722 0.0000
Cl 2.3722 0.0000 0.0000
```

Output
Calculated total energy: -24.864 eV for the cell shown
Space group: P4/mmm (123)
Size of the total moment: 2.7 μB/f.u.
Fermi-level density of states: 0.523 states/eV/atom

***

First-principles (PBE) data for a relaxed TiRuSCl2 crystal, as listed in the Alexandria database.

```
5
Lattice="4.7284 0.0000 0.0000 0.0000 4.7284 0.0000 0.0000 0.0000 4.6007" Properties=species:S:1:pos:R:3 pbc="T T T"
Ti 0.0000 0.0000 0.0000
Ru 2.3642 2.3642 2.3003
S 2.3642 2.3642 0.0000
Cl 0.0000 2.3642 2.3003
Cl 2.3642 0.0000 2.3003
```

Output
Calculated total energy: -23.472 eV for the cell shown
Space group: P4/mmm (123)
Size of the total moment: 0.1 μB/f.u.
Fermi-level density of states: 1.907 states/eV/atom

***

First-principles (PBE) data for a relaxed TlRuS2Cl crystal, as listed in the Alexandria database.

```
5
Lattice="4.6117 0.0000 0.0000 0.0000 4.6117 0.0000 0.0000 0.0000 5.2471" Properties=species:S:1:pos:R:3 pbc="T T T"
Tl 0.0000 0.0000 0.0000
Ru 2.3058 2.3058 2.6235
S 0.0000 2.3058 2.6235
S 2.3058 0.0000 2.6235
Cl 2.3058 2.3058 0.0000
```

Output
Calculated total energy: -22.360 eV for the cell shown
Space group: P4/mmm (123)
Size of the total moment: 0.0 μB/f.u.
Fermi-level density of states: 0.690 states/eV/atom

***

First-principles (PBE) data for a relaxed TlRuSCl2 crystal, as listed in the Alexandria database.

```
5
Lattice="5.1344 0.0000 0.0000 0.0000 5.1344 0.0000 0.0000 0.0000 4.4249" Properties=species:S:1:pos:R:3 pbc="T T T"
Tl 0.0000 0.0000 0.0000
Ru 2.5672 2.5672 2.2125
S 2.5672 2.5672 0.0000
Cl 0.0000 2.5672 2.2125
Cl 2.5672 0.0000 2.2125
```

Output
Calculated total energy: -21.175 eV for the cell shown
Space group: P4/mmm (123)
Size of the total moment: 0.0 μB/f.u.
Fermi-level density of states: 0.592 states/eV/atom

***

First-principles (PBE) data for a relaxed TlRuSCl2 crystal, as listed in the Alexandria database.

```
5
Lattice="5.2878 0.0000 0.0000 0.0000 5.2878 0.0000 0.0000 0.0000 5.1288" Properties=species:S:1:pos:R:3 pbc="T T T"
Tl 0.0000 0.0000 0.0000
Ru 2.6439 2.6439 2.5644
S 0.0000 0.0000 2.5644
Cl 0.0000 2.6439 0.0000
Cl 2.6439 0.0000 0.0000
```

Output
Calculated total energy: -15.519 eV for the cell shown
Space group: P4/mmm (123)
Size of the total moment: 3.4 μB/f.u.
Fermi-level density of states: 1.220 states/eV/atom

***

First-principles (PBE) data for a relaxed TlRuS2Cl crystal, as listed in the Alexandria database.

```
5
Lattice="5.1044 0.0000 0.0000 0.0000 5.1044 0.0000 0.0000 0.0000 5.2264" Properties=species:S:1:pos:R:3 pbc="T T T"
Tl 0.0000 0.0000 0.0000
Ru 2.5522 2.5522 2.6132
S 0.0000 2.5522 0.0000
S 2.5522 0.0000 0.0000
Cl 0.0000 0.0000 2.6132
```

Output
Calculated total energy: -16.155 eV for the cell shown
Space group: P4/mmm (123)
Size of the total moment: 3.8 μB/f.u.
Fermi-level density of states: 1.256 states/eV/atom

***

First-principles (PBE) data for a relaxed VRuS2Cl crystal, as listed in the Alexandria database.

```
5
Lattice="4.5927 0.0000 0.0000 0.0000 4.5927 0.0000 0.0000 0.0000 4.7201" Properties=species:S:1:pos:R:3 pbc="T T T"
V 0.0000 0.0000 0.0000
Ru 2.2964 2.2964 2.3600
S 0.0000 2.2964 2.3600
S 2.2964 0.0000 2.3600
Cl 2.2964 2.2964 0.0000
```

Output
Calculated total energy: -25.180 eV for the cell shown
Space group: P4/mmm (123)
Size of the total moment: 0.1 μB/f.u.
Fermi-level density of states: 2.035 states/eV/atom